4
Lattice="0.0000 4.0156 4.0156 4.0156 0.0000 4.0156 4.0156 4.0156 0.0000" Properties=species:S:1:pos:R:3 comment="SrPrInPb PBE optimized geometry" dos_ef_per_ev_fu=2.8 dft_energy_ev_per_atom=-3.660 pbc="T T T"
Sr 0.0000 0.0000 0.0000
Pr 4.0156 4.0156 4.0156
In 6.0234 6.0234 6.0234
Pb 2.0078 2.0078 2.0078